(1)
VASP calculation (PBE-GGA) on K4AlTe after structural relaxation.

Cell and atoms, written as extended XYZ:
```
6
Lattice="0.000 5.057 5.057 5.057 0.000 5.057 5.057 5.057 0.000" Properties=species:S:1:pos:R:3 pbc="T T T"
K 1.251 1.251 1.251
K 3.806 3.806 1.251
K 3.806 1.251 3.806
K 1.251 3.806 3.806
Al 5.057 5.057 5.057
Te 7.585 7.585 7.585
```

Output
- space-group type = No. 216
- crystal system = cubic
- DOS at the Fermi energy (states/eV/f.u.) = 5.70
- spin magnetization (μB per atom) = 0.168
- energy relative to the elements, uncorrected (eV/atom) = 0.22

***

(2)
VASP calculation (PBE-GGA) on Ta2Ga2Tc after structural relaxation.

Cell and atoms, written as extended XYZ:
```
5
Lattice="-1.687 1.687 7.541 1.687 -1.687 7.541 1.687 1.687 -7.541" Properties=species:S:1:pos:R:3 pbc="T T T"
Ta 0.000 0.000 1.486
Ta 0.000 0.000 13.596
Ga 1.687 0.000 3.770
Ga 0.000 1.687 3.770
Tc 0.000 0.000 7.541
```

Output
- ΔE_f (meV/atom) = 170
- space-group type = No. 139
- crystal system = tetragonal
- DOS at the Fermi energy (states/eV/f.u.) = 4.13
- spin magnetization (μB per atom) = 0.000

***

(3)
VASP calculation (PBE-GGA) on Pm3CuSi2Pt9 after structural relaxation.

Cell and atoms, written as extended XYZ:
```
15
Lattice="5.729 0.000 0.000 -2.864 4.961 0.000 0.000 0.000 10.685" Properties=species:S:1:pos:R:3 pbc="T T T"
Pm 0.000 0.000 0.000
Pm 0.000 3.308 6.242
Pm 2.864 1.654 4.443
Cu 0.000 0.000 5.343
Si 0.000 3.308 1.757
Si 2.864 1.654 8.928
Pt -1.432 2.481 0.000
Pt 0.000 1.602 3.373
Pt -1.477 4.160 3.373
Pt 1.388 0.801 7.312
Pt 2.864 0.000 0.000
Pt 1.432 2.481 0.000
Pt 1.477 4.160 3.373
Pt 4.341 0.801 7.312
Pt 2.864 3.359 7.312
```

Output
- space-group type = No. 164
- crystal system = trigonal
- DOS at the Fermi energy (states/eV/f.u.) = 3.50
- spin magnetization (μB per atom) = 0.000
- energy relative to the elements, uncorrected (eV/atom) = -0.80

***

(4)
VASP calculation (PBE-GGA) on Pm2ErCu4 after structural relaxation.

Cell and atoms, written as extended XYZ:
```
7
Lattice="-2.570 2.570 5.886 2.570 -2.570 5.886 2.570 2.570 -5.886" Properties=species:S:1:pos:R:3 pbc="T T T"
Pm 0.000 0.000 2.451
Pm 0.000 0.000 9.321
Er 0.000 0.000 5.886
Cu 2.570 0.000 1.286
Cu 2.570 0.000 4.600
Cu 0.000 2.570 1.286
Cu 0.000 2.570 4.600
```

Output
- ΔE_f (meV/atom) = -2
- space-group type = No. 139
- crystal system = tetragonal
- DOS at the Fermi energy (states/eV/f.u.) = 6.91
- spin magnetization (μB per atom) = 0.000

***

(5)
VASP calculation (PBE-GGA) on TlAsIrPbAuCl after structural relaxation.

Cell and atoms, written as extended XYZ:
```
6
Lattice="3.829 0.000 0.000 1.865 3.903 0.000 1.902 0.859 10.361" Properties=species:S:1:pos:R:3 pbc="T T T"
Tl 0.000 0.000 0.000
As 3.795 3.906 3.717
Ir 3.845 1.462 3.729
Pb 5.740 2.478 5.881
Au 1.930 1.608 1.592
Cl 3.809 1.137 8.049
```

Output
- space-group type = No. 1
- crystal system = triclinic
- DOS at the Fermi energy (states/eV/f.u.) = 2.17
- spin magnetization (μB per atom) = 0.000
- energy relative to the elements, uncorrected (eV/atom) = -0.19

***

(6)
VASP calculation (PBE-GGA) on Ac2TaSn after structural relaxation.

Cell and atoms, written as extended XYZ:
```
4
Lattice="1.732 1.000 12.001 -1.732 1.000 12.001 0.000 -2.000 12.001" Properties=species:S:1:pos:R:3 pbc="T T T"
Ac 0.000 0.000 3.107
Ac 0.000 0.000 32.895
Ta 0.000 0.000 0.000
Sn 0.000 0.000 18.001
```

Output
- ΔE_f (meV/atom) = 712
- space-group type = No. 166
- crystal system = trigonal
- DOS at the Fermi energy (states/eV/f.u.) = 4.95
- spin magnetization (μB per atom) = 0.146

***

(7)
VASP calculation (PBE-GGA) on K2Tl2P after structural relaxation.

Cell and atoms, written as extended XYZ:
```
10
Lattice="7.750 0.000 0.000 0.000 7.750 0.000 0.000 0.000 5.662" Properties=species:S:1:pos:R:3 pbc="T T T"
K 1.423 2.452 0.000
K 2.452 6.328 0.000
K 5.298 1.423 0.000
K 6.328 5.298 0.000
Tl 1.086 4.961 2.831
Tl 2.789 1.086 2.831
Tl 4.961 6.665 2.831
Tl 6.665 2.789 2.831
P 0.000 0.000 2.831
P 3.875 3.875 2.831
```

Output
- ΔE_f (meV/atom) = 0
- space-group type = No. 127
- crystal system = tetragonal
- DOS at the Fermi energy (states/eV/f.u.) = 2.73
- spin magnetization (μB per atom) = 0.000

***

(8)
VASP calculation (PBE-GGA) on KThHg after structural relaxation.

Cell and atoms, written as extended XYZ:
```
6
Lattice="18.540 0.000 0.000 0.000 1.792 3.105 0.000 -1.792 3.105" Properties=species:S:1:pos:R:3 pbc="T T T"
K 2.922 0.000 0.000
K 15.617 0.000 0.000
Th 6.681 0.000 2.017
Th 11.859 0.000 2.017
Hg 0.000 0.000 2.064
Hg 9.270 0.000 6.158
```

Output
- ΔE_f (meV/atom) = 156
- space-group type = No. 38
- crystal system = orthorhombic
- DOS at the Fermi energy (states/eV/f.u.) = 3.03
- spin magnetization (μB per atom) = 0.000

***

(9)
VASP calculation (PBE-GGA) on Sm2MgSi3Pt12 after structural relaxation.

Cell and atoms, written as extended XYZ:
```
18
Lattice="4.161 2.402 5.851 -4.161 2.402 5.851 0.000 -4.804 5.851" Properties=species:S:1:pos:R:3 pbc="T T T"
Sm 0.000 0.000 1.896
Sm 0.000 0.000 15.656
Mg 0.000 0.000 8.776
Si -2.080 -1.201 5.851
Si -2.080 1.201 11.701
Si 0.000 2.402 5.851
Pt -2.139 -1.235 8.166
Pt 0.000 -2.191 5.243
Pt -1.898 1.096 5.243
Pt 0.000 -2.470 9.386
Pt -2.139 1.235 9.386
Pt -1.898 -1.096 12.309
Pt 1.898 1.096 5.243
Pt 2.139 -1.235 8.166
Pt 0.000 2.470 8.166
Pt 1.898 -1.096 12.309
Pt 0.000 2.191 12.309
Pt 2.139 1.235 9.386
```

Output
- space-group type = No. 166
- crystal system = trigonal
- DOS at the Fermi energy (states/eV/f.u.) = 7.36
- spin magnetization (μB per atom) = 0.000
- energy relative to the elements, uncorrected (eV/atom) = -0.54

***

(10)
VASP calculation (PBE-GGA) on MgGeWC2 after structural relaxation.

Cell and atoms, written as extended XYZ:
```
5
Lattice="3.930 0.000 0.000 0.000 3.930 0.000 0.000 0.000 4.883" Properties=species:S:1:pos:R:3 pbc="T T T"
Mg 0.000 0.000 0.000
Ge 0.000 0.000 2.442
W 1.965 1.965 0.000
C 0.000 1.965 2.442
C 1.965 0.000 2.442
```

Output
- ΔE_f (meV/atom) = 2677
- space-group type = No. 123
- crystal system = tetragonal
- DOS at the Fermi energy (states/eV/f.u.) = 5.75
- spin magnetization (μB per atom) = 0.000

***

(11)
VASP calculation (PBE-GGA) on Ho8Te4PS3 after structural relaxation.

Cell and atoms, written as extended XYZ:
```
16
Lattice="4.067 2.348 6.942 -4.067 2.348 6.942 0.000 -4.696 6.942" Properties=species:S:1:pos:R:3 pbc="T T T"
Ho 0.000 0.000 4.880
Ho -2.018 -1.165 11.828
Ho 0.000 -2.330 8.998
Ho -2.018 1.165 8.998
Ho 2.018 -1.165 11.828
Ho 0.000 2.330 11.828
Ho 2.018 1.165 8.998
Ho 0.000 0.000 15.946
Te 0.000 0.000 0.000
Te -2.033 -1.174 6.942
Te -2.033 1.174 13.884
Te 0.000 2.348 6.942
P 0.000 0.000 10.413
S -4.067 0.000 10.413
S -2.033 1.174 3.471
S 2.033 1.174 3.471
```

Output
- space-group type = No. 166
- crystal system = trigonal
- DOS at the Fermi energy (states/eV/f.u.) = 4.40
- spin magnetization (μB per atom) = 0.000
- energy relative to the elements, uncorrected (eV/atom) = -1.62

***

(12)
VASP calculation (PBE-GGA) on Si4Au3 after structural relaxation.

Cell and atoms, written as extended XYZ:
```
7
Lattice="5.599 0.000 0.000 -2.799 4.848 0.000 0.000 0.000 4.764" Properties=species:S:1:pos:R:3 pbc="T T T"
Si 0.000 0.000 1.181
Si 0.000 0.000 3.582
Si 0.000 3.232 2.382
Si 2.799 1.616 2.382
Au -1.400 2.424 0.000
Au 2.799 0.000 0.000
Au 1.400 2.424 0.000
```

Output
- space-group type = No. 191
- crystal system = hexagonal
- DOS at the Fermi energy (states/eV/f.u.) = 3.39
- spin magnetization (μB per atom) = 0.000
- energy relative to the elements, uncorrected (eV/atom) = 0.54

***

(13)
VASP calculation (PBE-GGA) on Na2TlVCl6 after structural relaxation.

Cell and atoms, written as extended XYZ:
```
10
Lattice="3.501 2.021 6.380 -3.501 2.021 6.380 0.000 -4.043 6.380" Properties=species:S:1:pos:R:3 pbc="T T T"
Na 0.000 0.000 0.000
Na 0.000 0.000 9.173
Tl 0.000 0.000 3.718
V 0.000 0.000 12.900
Cl -1.495 -2.010 7.845
Cl -1.899 -0.200 11.421
Cl -0.993 2.300 7.845
Cl 1.123 -1.545 11.421
Cl 2.488 -0.290 7.845
Cl 0.777 1.745 11.421
```

Output
- space-group type = No. 146
- crystal system = trigonal
- DOS at the Fermi energy (states/eV/f.u.) = 10.82
- spin magnetization (μB per atom) = 0.200
- energy relative to the elements, uncorrected (eV/atom) = -1.39

***

(14)
VASP calculation (PBE-GGA) on Fe4TcNi15 after structural relaxation.

Cell and atoms, written as extended XYZ:
```
20
Lattice="3.561 0.000 0.000 0.000 3.561 0.000 0.000 0.000 17.785" Properties=species:S:1:pos:R:3 pbc="T T T"
Fe 0.000 0.000 1.758
Fe 0.000 0.000 5.265
Fe 0.000 0.000 12.520
Fe 0.000 0.000 16.027
Tc 0.000 0.000 8.892
Ni 0.000 1.780 0.000
Ni 0.000 1.780 3.529
Ni 0.000 1.780 7.071
Ni 0.000 1.780 10.714
Ni 0.000 1.780 14.256
Ni 1.780 0.000 0.000
Ni 1.780 0.000 3.529
Ni 1.780 0.000 7.071
Ni 1.780 0.000 10.714
Ni 1.780 0.000 14.256
Ni 1.780 1.780 1.765
Ni 1.780 1.780 5.298
Ni 1.780 1.780 8.892
Ni 1.780 1.780 12.486
Ni 1.780 1.780 16.020
```

Output
- ΔE_f (meV/atom) = -47
- space-group type = No. 123
- crystal system = tetragonal
- DOS at the Fermi energy (states/eV/f.u.) = 16.26
- spin magnetization (μB per atom) = 1.048

***

(15)
VASP calculation (PBE-GGA) on CsAgSnHg2 after structural relaxation.

Cell and atoms, written as extended XYZ:
```
5
Lattice="6.007 0.000 0.000 0.000 6.007 0.000 0.000 0.000 5.359" Properties=species:S:1:pos:R:3 pbc="T T T"
Cs 0.000 0.000 0.000
Ag 3.003 3.003 0.000
Sn 3.003 3.003 2.680
Hg 0.000 3.003 2.680
Hg 3.003 0.000 2.680
```

Output
- ΔE_f (meV/atom) = -53
- space-group type = No. 123
- crystal system = tetragonal
- DOS at the Fermi energy (states/eV/f.u.) = 3.13
- spin magnetization (μB per atom) = 0.000

***

(16)
VASP calculation (PBE-GGA) on TlInGePb after structural relaxation.

Cell and atoms, written as extended XYZ:
```
4
Lattice="0.000 3.814 3.814 3.814 0.000 3.814 3.814 3.814 0.000" Properties=species:S:1:pos:R:3 pbc="T T T"
Tl 0.000 0.000 0.000
In 5.721 5.721 5.721
Ge 3.814 3.814 3.814
Pb 1.907 1.907 1.907
```

Output
- ΔE_f (meV/atom) = 183
- space-group type = No. 216
- crystal system = cubic
- DOS at the Fermi energy (states/eV/f.u.) = 2.85
- spin magnetization (μB per atom) = 0.000

***

(17)
VASP calculation (PBE-GGA) on Ag5Sb2S5 after structural relaxation.

Cell and atoms, written as extended XYZ:
```
12
Lattice="7.161 -1.884 0.000 7.161 1.884 0.000 -1.285 0.000 9.494" Properties=species:S:1:pos:R:3 pbc="T T T"
Ag 0.000 0.000 0.000
Ag 1.175 0.000 5.296
Ag 1.958 0.000 8.068
Ag 11.080 0.000 1.426
Ag 11.862 0.000 4.198
Sb 4.976 0.000 7.238
Sb 8.061 0.000 2.256
S 2.794 0.000 3.136
S 5.347 0.000 0.286
S 6.519 0.000 4.747
S 7.691 0.000 9.208
S 10.243 0.000 6.358
```

Output
- space-group type = No. 12
- crystal system = monoclinic
- DOS at the Fermi energy (states/eV/f.u.) = 3.84
- spin magnetization (μB per atom) = 0.000
- energy relative to the elements, uncorrected (eV/atom) = 0.07

***

(18)
VASP calculation (PBE-GGA) on KTaAg2F8 after structural relaxation.

Cell and atoms, written as extended XYZ:
```
12
Lattice="2.465 1.423 9.361 -2.465 1.423 9.361 0.000 -2.846 9.361" Properties=species:S:1:pos:R:3 pbc="T T T"
K 0.000 0.000 0.000
Ta 0.000 0.000 14.042
Ag 0.000 0.000 7.717
Ag 0.000 0.000 20.367
F -0.769 -1.287 12.821
F -0.731 -1.309 15.262
F 0.000 0.000 9.910
F -0.731 1.309 12.821
F -0.769 1.287 15.262
F 0.000 0.000 18.174
F 1.499 -0.022 12.821
F 1.499 0.022 15.262
```

Output
- space-group type = No. 155
- crystal system = trigonal
- DOS at the Fermi energy (states/eV/f.u.) = 0.00
- spin magnetization (μB per atom) = 0.000
- energy relative to the elements, uncorrected (eV/atom) = -2.33

***

(19)
VASP calculation (PBE-GGA) on AlSbBr2 after structural relaxation.

Cell and atoms, written as extended XYZ:
```
4
Lattice="3.441 0.000 0.000 0.000 4.492 0.000 0.000 0.000 6.746" Properties=species:S:1:pos:R:3 pbc="T T T"
Al 0.000 0.000 0.000
Sb 0.000 0.000 3.373
Br 1.721 2.246 1.671
Br 1.721 2.246 5.075
```

Output
- space-group type = No. 47
- crystal system = orthorhombic
- DOS at the Fermi energy (states/eV/f.u.) = 2.76
- spin magnetization (μB per atom) = 0.000
- energy relative to the elements, uncorrected (eV/atom) = 0.18

***

(20)
VASP calculation (PBE-GGA) on InAg2Te after structural relaxation.

Cell and atoms, written as extended XYZ:
```
4
Lattice="5.268 -2.086 0.000 5.268 2.086 0.000 -0.006 0.000 4.338" Properties=species:S:1:pos:R:3 pbc="T T T"
In 0.000 0.000 0.000
Ag 2.929 0.000 4.334
Ag 4.801 0.000 2.169
Te 7.665 0.000 2.163
```

Output
- space-group type = No. 8
- crystal system = monoclinic
- DOS at the Fermi energy (states/eV/f.u.) = 1.97
- spin magnetization (μB per atom) = 0.000
- energy relative to the elements, uncorrected (eV/atom) = 0.01

***

(21)
VASP calculation (PBE-GGA) on PaTc6 after structural relaxation.

Cell and atoms, written as extended XYZ:
```
28
Lattice="8.524 0.000 0.000 0.000 5.072 0.000 0.000 0.000 10.830" Properties=species:S:1:pos:R:3 pbc="T T T"
Pa 2.096 1.268 0.596
Pa 2.166 3.804 6.012
Pa 6.358 1.268 4.819
Pa 6.428 3.804 10.234
Tc 0.429 3.804 0.770
Tc 0.504 0.046 3.350
Tc 0.504 2.489 3.350
Tc 1.063 1.268 5.713
Tc 1.197 3.804 9.177
Tc 1.697 1.268 8.238
Tc 2.565 3.804 2.823
Tc 3.065 1.268 3.762
Tc 3.198 3.804 0.297
Tc 3.758 2.582 8.765
Tc 3.758 5.025 8.765
Tc 3.833 1.268 6.185
Tc 4.691 3.804 4.645
Tc 4.766 0.046 2.065
Tc 4.766 2.489 2.065
Tc 5.325 1.268 10.533
Tc 5.459 3.804 7.069
Tc 5.959 1.268 8.007
Tc 6.827 3.804 2.592
Tc 7.327 1.268 1.654
Tc 7.460 3.804 5.118
Tc 8.020 2.582 7.480
Tc 8.020 5.025 7.480
Tc 8.095 1.268 10.060
```

Output
- ΔE_f (meV/atom) = -15
- space-group type = No. 62
- crystal system = orthorhombic
- DOS at the Fermi energy (states/eV/f.u.) = 8.17
- spin magnetization (μB per atom) = 0.000

***

(22)
VASP calculation (PBE-GGA) on CaNd2Rh3 after structural relaxation.

Cell and atoms, written as extended XYZ:
```
12
Lattice="4.955 0.000 0.000 -2.478 4.291 0.000 0.000 0.000 12.133" Properties=species:S:1:pos:R:3 pbc="T T T"
Ca 0.000 2.861 2.000
Ca 2.478 1.430 10.133
Nd 0.000 0.000 0.000
Nd 0.000 0.000 6.066
Nd 0.000 2.861 8.182
Nd 2.478 1.430 3.950
Rh 0.000 0.000 3.053
Rh 0.000 0.000 9.079
Rh 0.000 2.861 5.087
Rh 0.000 2.861 11.147
Rh 2.478 1.430 0.986
Rh 2.478 1.430 7.046
```

Output
- ΔE_f (meV/atom) = -566
- space-group type = No. 164
- crystal system = trigonal
- DOS at the Fermi energy (states/eV/f.u.) = 1.78
- spin magnetization (μB per atom) = 0.000

***

(23)
VASP calculation (PBE-GGA) on PrPuS4 after structural relaxation.

Cell and atoms, written as extended XYZ:
```
6
Lattice="4.483 -4.544 0.000 4.483 4.544 0.000 0.000 0.000 4.185" Properties=species:S:1:pos:R:3 pbc="T T T"
Pr 0.000 0.000 0.000
Pu 4.483 0.000 2.093
S 1.886 0.000 2.093
S 4.483 1.643 0.000
S 4.483 -1.643 0.000
S 7.080 0.000 2.093
```

Output
- space-group type = No. 65
- crystal system = orthorhombic
- DOS at the Fermi energy (states/eV/f.u.) = 7.00
- spin magnetization (μB per atom) = 0.499
- energy relative to the elements, uncorrected (eV/atom) = -1.35